First-principles (GGA-PBE) data for crystalline BaSr2TlH at its relaxed geometry, as listed in the Alexandria database.

Calculated values
* total energy: -2.48 eV/atom
* calculated volume: 32.8 A^3/atom
* theoretical density: 5.25 g cm⁻³
* DOS at the Fermi energy: 2.6 states/eV per cell

CIF file:
```
data_BaSr2TlH
_chemical_formula_sum 'Ba1 Sr2 Tl1 H1'
_space_group_name_H-M_alt 'P 4/m m m'
_space_group_IT_number 123
_space_group_name_Hall '-P 4 2'
_cell_length_a 5.453
_cell_length_b 5.453
_cell_length_c 5.511
_cell_angle_alpha 90.00
_cell_angle_beta 90.00
_cell_angle_gamma 90.00
loop_
_atom_site_label
_atom_site_type_symbol
_atom_site_fract_x
_atom_site_fract_y
_atom_site_fract_z
Ba1 Ba 0.000 0.000 0.000
Sr1 Sr 0.000 0.500 0.500
Tl1 Tl 0.500 0.500 0.000
H1 H 0.000 0.000 0.500
```


First-principles (GGA-PBE) data for crystalline Ba2SrZnH at its relaxed geometry, as listed in the Alexandria database.

Calculated values
* total energy: -2.13 eV/atom
* calculated volume: 34.1 A^3/atom
* theoretical density: 4.17 g cm⁻³
* DOS at the Fermi energy: 3.7 states/eV per cell

CIF file:
```
data_Ba2SrZnH
_chemical_formula_sum 'Ba2 Sr1 Zn1 H1'
_space_group_name_H-M_alt 'P 4/m m m'
_space_group_IT_number 123
_space_group_name_Hall '-P 4 2'
_cell_length_a 5.850
_cell_length_b 5.850
_cell_length_c 4.985
_cell_angle_alpha 90.00
_cell_angle_beta 90.00
_cell_angle_gamma 90.00
loop_
_atom_site_label
_atom_site_type_symbol
_atom_site_fract_x
_atom_site_fract_y
_atom_site_fract_z
Ba1 Ba 0.000 0.500 0.000
Sr1 Sr 0.000 0.000 0.500
Zn1 Zn 0.500 0.500 0.500
H1 H 0.000 0.000 0.000
```


Question: What is the calculated volume in the second record?
Answer: 34.1 A^3/atom